(1)
This record from the Alexandria database describes a relaxed structure of Tl5CdSe4. The functional is PBE.

It has space group C2/m (No. 12), with a = 19.406 Å, b = 4.226 Å, c = 8.098 Å, α = 90.00°, β = 110.34° and γ = 90.00°. The asymmetric unit holds Tl at (0.000, 0.000, 0.000), Tl at (0.164, 0.500, 0.300), Tl at (0.184, 0.500, 0.838), Cd at (0.000, 0.000, 0.500), Se at (0.023, 0.500, 0.745) and Se at (0.162, 0.000, 0.561).

The excess energy over the best structure of this formula in the dataset is 7 kJ/mol of formula units. Its density of states at the Fermi level is 3.653 states/eV/f.u. As for the raw formation energy: -0.34 eV/atom. Its volume is 31.138 Å³/atom.

=====

(2)
This record from the Alexandria database describes a relaxed structure of PaAlPd3. The functional is PBE.

It has space group C2/m (No. 12), with a = 16.683 Å, b = 4.851 Å, c = 4.881 Å, α = 90.00°, β = 106.94° and γ = 90.00°. The asymmetric unit holds Pa at (0.106, 0.000, 0.356), Al at (0.132, 0.500, 0.882), Pd at (0.030, 0.500, 0.280), Pd at (0.197, 0.000, 0.946) and Pd at (0.205, 0.500, 0.457).

The formation energy comes out at -0.579 eV/atom. Its density of states at the Fermi level is 3.275 states/eV/f.u. Its volume is 18.895 Å³/atom.

=====

(3)
This record from the Alexandria database describes a relaxed structure of NaNi3Mo. The functional is PBE.

It has space group Pm-3m (No. 221), with a = 4.573 Å, b = 4.573 Å, c = 4.573 Å, α = 90.00°, β = 90.00° and γ = 90.00°. The asymmetric unit holds Na at (0.000, 0.000, 0.000), Ni at (0.000, 0.500, 0.500) and Mo at (0.500, 0.500, 0.500).

The formation energy comes out at 1.054 eV/atom. The excess energy over the best structure of this formula in the dataset is 0 kJ/mol of formula units. Its density of states at the Fermi level is 5.701 states/eV/f.u. Its volume is 19.125 Å³/atom.

=====

(4)
This record from the Alexandria database describes a relaxed structure of Pm8Tm3Mg2. The functional is PBE.

It has space group P-1 (No. 2), with a = 6.351 Å, b = 7.334 Å, c = 9.576 Å, α = 90.50°, β = 91.01° and γ = 109.31°. The asymmetric unit holds Pm at (0.041, 0.376, 0.353), Pm at (0.047, 0.868, 0.321), Pm at (0.398, 0.968, 0.821), Pm at (0.438, 0.472, 0.806), Tm at (0.000, 0.500, 0.000), Tm at (0.489, 0.242, 0.501) and Mg at (0.172, 0.160, 0.061).

The formation energy comes out at 0.077 eV/atom. Its density of states at the Fermi level is 18.626 states/eV/f.u. Its volume is 32.374 Å³/atom.

=====

(5)
This record from the Alexandria database describes a relaxed structure of Pr2PaCd. The functional is PBE.

It has space group P4/mmm (No. 123), with a = 5.773 Å, b = 5.773 Å, c = 3.461 Å, α = 90.00°, β = 90.00° and γ = 90.00°. The asymmetric unit holds Pr at (0.000, 0.500, 0.000), Pa at (0.000, 0.000, 0.500) and Cd at (0.500, 0.500, 0.500).

The formation energy comes out at 0.083 eV/atom. The excess energy over the best structure of this formula in the dataset is 30 kJ/mol of formula units. Its density of states at the Fermi level is 7.675 states/eV/f.u. Its volume is 28.837 Å³/atom.

=====

(6)
This record from the Alexandria database describes a relaxed structure of PrMgPdPb. The functional is PBE.

It has space group F-43m (No. 216), with a = 7.284 Å, b = 7.284 Å, c = 7.284 Å, α = 90.00°, β = 90.00° and γ = 90.00°. The asymmetric unit holds Pr at (0.000, 0.000, 0.000), Mg at (0.000, 0.000, 0.500), Pd at (0.250, 0.250, 0.250) and Pb at (0.250, 0.250, 0.750).

The formation energy comes out at -0.475 eV/atom. Its density of states at the Fermi level is 1.714 states/eV/f.u. Its volume is 24.157 Å³/atom.

=====

(7)
This record from the Alexandria database describes a relaxed structure of Er3Sc4In. The functional is PBE.

It has space group C2/m (No. 12), with a = 25.063 Å, b = 3.426 Å, c = 5.189 Å, α = 90.00°, β = 90.79° and γ = 90.00°. The asymmetric unit holds Er at (0.000, 0.000, 0.000), Er at (0.149, 0.000, 0.725), Sc at (0.101, 0.500, 0.216), Sc at (0.220, 0.500, 0.249) and In at (0.000, 0.500, 0.500).

The formation energy comes out at 0.097 eV/atom. Its density of states at the Fermi level is 13.581 states/eV/f.u. Its volume is 27.840 Å³/atom.

=====

(8)
This record from the Alexandria database describes a relaxed structure of La4Nd2Pb3N2. The functional is PBE.

It has space group I4/mmm (No. 139), with a = 4.964 Å, b = 4.964 Å, c = 26.668 Å, α = 90.00°, β = 90.00° and γ = 90.00°. The asymmetric unit holds La at (0.000, 0.500, 0.086), Nd at (0.000, 0.000, 0.195), Pb at (0.000, 0.000, 0.321), Pb at (0.000, 0.000, 0.500) and N at (0.000, 0.000, 0.107).

Its density of states at the Fermi level is 2.271 states/eV/f.u. As for the raw formation energy: -0.86 eV/atom. Its volume is 29.874 Å³/atom.

=====

Repeat the sixth record exactly.
This record from the Alexandria database describes a relaxed structure of PrMgPdPb. The functional is PBE.

It has space group F-43m (No. 216), with a = 7.284 Å, b = 7.284 Å, c = 7.284 Å, α = 90.00°, β = 90.00° and γ = 90.00°. The asymmetric unit holds Pr at (0.000, 0.000, 0.000), Mg at (0.000, 0.000, 0.500), Pd at (0.250, 0.250, 0.250) and Pb at (0.250, 0.250, 0.750).

The formation energy comes out at -0.475 eV/atom. Its density of states at the Fermi level is 1.714 states/eV/f.u. Its volume is 24.157 Å³/atom.

=====

Which formula does entry 2 have?
PaAlPd3

=====

volume of number 2 (PaAlPd3)?
18.895 Å³/atom